Computed, not measured: a relaxed NaNpNiO6 crystal at the GGA+U level of DFT.

Computed properties:
For the total energy, the calculation gives -6.836 eV/atom. Its total magnetization is 0.000 μB per atom.

Cell: 5.174 5.174 10.358 Å, 90.00 90.00 120.00°
Positions (direct):
O1 0.643 0.624 0.648
O2 0.376 0.357 0.852
O3 0.981 0.624 0.852
O4 0.981 0.357 0.648
O5 0.357 0.981 0.148
O6 0.624 0.643 0.148
O7 0.376 0.019 0.648
O8 0.643 0.019 0.852
O9 0.624 0.981 0.352
O10 0.019 0.376 0.148
O11 0.019 0.643 0.352
O12 0.357 0.376 0.352
Np1 0.333 0.667 0.750
Np2 0.667 0.333 0.250
Ni1 0.667 0.333 0.750
Ni2 0.333 0.667 0.250
Na1 0.000 0.000 0.000
Na2 0.000 0.000 0.500